A plane-wave DFT calculation with PBE was carried out for Pm6Ge2SeS3 after structural relaxation.

Structure (POSCAR):
```
Pm6Ge2SeS3
1.0
-1.784 -3.695 0.690
1.230 0.930 8.156
-7.251 5.552 -1.563
S Pm Ge Se
3 6 2 1
Direct
0.835 0.165 0.670
0.500 0.500 0.000
0.165 0.835 0.330
0.998 0.739 0.997
0.666 0.584 0.333
0.331 0.912 0.661
0.002 0.261 0.003
0.669 0.088 0.339
0.334 0.416 0.667
0.834 0.668 0.668
0.166 0.332 0.332
0.500 0.000 0.000
```

Properties
- Space-group type: C2/m, No. 12
- Magnetization: 0.00 μB/f.u.
- Formation energy (no corrections): -38.06 kcal/mol of atoms